No. 1
Entry from Alexandria via LeMat-Bulk: an optimized crystal structure of MgTlCd14 (GGA-PBE).

Lattice parameters (Å, degrees): 6.422 6.422 8.949 90.00 90.00 90.00
Space group P4/mmm (No. 123)
Symmetry-distinct sites (fractional):
1 Mg 0.000 0.000 0.000
2 Tl 0.500 0.500 0.000
3 Cd 0.000 0.000 0.500
4 Cd 0.000 0.500 0.000
5 Cd 0.000 0.500 0.500
6 Cd 0.244 0.244 0.254
7 Cd 0.500 0.500 0.500

Output
formation energy from the elements = 0.0083 eV/atom


No. 2
Entry from Alexandria via LeMat-Bulk: an optimized crystal structure of SiP (GGA-PBE).

Lattice parameters (Å, degrees): 3.4867 3.4867 20.7568 90.00 90.00 120.00
Space group R-3m (No. 166, hexagonal axes)
Symmetry-distinct sites (fractional):
1 Si 0.0000 0.0000 0.1154
2 P 0.0000 0.0000 0.3971

Output
E_form (uncorrected) = 0.10 eV/atom


No. 3
Entry from Alexandria via LeMat-Bulk: an optimized crystal structure of HPd8 (GGA-PBE).

Lattice parameters (Å, degrees): 5.5706 5.5706 4.6888 90.00 90.00 120.00
Space group P-3m1 (No. 164)
Symmetry-distinct sites (fractional):
1 H 0.0000 0.0000 0.0000
2 Pd 0.1681 0.3362 0.7487
3 Pd 0.3333 0.6667 0.2533


No. 4
Entry from Alexandria via LeMat-Bulk: an optimized crystal structure of NdDyAlAg (GGA-PBE).

Lattice parameters (Å, degrees): 7.415 7.415 7.415 90.00 90.00 90.00
Space group F-43m (No. 216)
Symmetry-distinct sites (fractional):
1 Nd 0.000 0.000 0.000
2 Dy 0.000 0.000 0.500
3 Al 0.250 0.250 0.750
4 Ag 0.250 0.250 0.250

Output
polymorph energy (0 for the lowest one) = 3.40 kJ/mol of atoms
formation energy from the elements = -0.3055 eV/atom


Number 1: M_tot 0.0 μB per formula unit, energy -16.6 eV/cell. Number 2: M_tot 0.0 μB per formula unit, energy -63.8 eV/cell. Number 3: M_tot 0.0 μB per formula unit, energy -44.8 eV/cell. Number 4: M_tot 0.0 μB per formula unit, energy -68.7 eV/cell.